1.
A relaxed structure of Cd5GePt6, computed with PBE-GGA.

Lattice parameters (Å, degrees): 4.3394 7.5284 7.6838 119.41 106.52 89.76
Closest atoms and distances in Å follow each position.
Element x y z (fractional)
Pt (0.1571, 0.9275, 0.3127)  1 Ge 2.62, 5 Cd 2.80-2.94, 1 Pt 2.94
Pt (0.8429, 0.0725, 0.6872)  1 Ge 2.62, 5 Cd 2.80-2.94, 1 Pt 2.94
Pt (0.1556, 0.3852, 0.3127)  1 Ge 2.62, 5 Cd 2.80-2.94, 1 Pt 2.94
Pt (0.8444, 0.6148, 0.6872)  1 Ge 2.62, 5 Cd 2.80-2.94, 1 Pt 2.94
Pt (0.5007, 0.7871, 0.0000)  2 Ge 2.69-2.70, 4 Cd 2.88-2.93, 4 Pt 2.94
Pt (0.4993, 0.2129, 0.0000)  2 Ge 2.69-2.70, 4 Cd 2.88-2.93, 4 Pt 2.94
Cd (0.6557, 0.6557, 0.3114)  8 Pt 2.93-2.99, 4 Cd 2.93
Cd (0.3443, 0.3443, 0.6886)  8 Pt 2.93-2.99, 4 Cd 2.93
Cd (0.6885, 0.1885, 0.3770)  8 Pt 2.80-2.88, 2 Cd 2.93
Cd (0.0000, 0.5000, 0.0000)  8 Pt 2.84-3.07, 4 Cd 2.93
Cd (0.3115, 0.8115, 0.6230)  8 Pt 2.80-2.88, 2 Cd 2.93
Ge (0.0000, 0.0000, 0.0000)  8 Pt 2.62-2.70

2.
A relaxed structure of ZnCuCBr2, computed with PBE-GGA.

Lattice parameters (Å, degrees): 5.0832 4.8693 5.0832 90.00 90.00 90.00
Closest atoms and distances in Å follow each position.
Element x y z (fractional)
C (0.5000, 0.5000, 0.5000)  8 Br 3.52, 4 Cu 3.59
Br (0.0000, 0.0000, 0.5000)  2 Zn 2.54
Br (0.5000, 0.0000, 0.0000)  2 Zn 2.54
Cu (0.0000, 0.5000, 0.0000)  2 Zn 2.43
Zn (0.0000, 0.0000, 0.0000)  2 Cu 2.43, 4 Br 2.54

* formation energy from raw total energies: 1.605 eV per atom

3.
A relaxed structure of Tc2MoOs, computed with PBE-GGA.

Lattice parameters (Å, degrees): 4.3921 4.3921 4.3921 60.00 60.00 60.00
Closest atoms and distances in Å follow each position.
Element x y z (fractional)
Tc (0.2500, 0.2500, 0.2500)  4 Mo 2.69, 4 Os 2.69
Tc (0.7500, 0.7500, 0.7500)  4 Mo 2.69, 4 Os 2.69
Mo (0.0000, 0.0000, 0.0000)  8 Tc 2.69
Os (0.5000, 0.5000, 0.5000)  8 Tc 2.69

* energy above the most stable polymorph in this dataset: 0.967 eV/f.u.

4.
A relaxed structure of ZrMo2Pt, computed with PBE-GGA.

Lattice parameters (Å, degrees): 3.8697 3.8697 4.6024 90.00 90.00 90.00
Closest atoms and distances in Å follow each position.
Element x y z (fractional)
Zr (0.0000, 0.5000, 0.5000)  4 Pt 2.74, 8 Mo 3.01
Pt (0.5000, 0.0000, 0.5000)  4 Zr 2.74, 8 Mo 3.01
Mo (0.0000, 0.0000, 0.0000)  4 Mo 2.74, 4 Zr 3.01, 4 Pt 3.01
Mo (0.5000, 0.5000, 0.0000)  4 Mo 2.74, 4 Zr 3.01, 4 Pt 3.01

* energy above the most stable polymorph in this dataset: 0.159 eV/f.u.

5.
A relaxed structure of TlOsBr2, computed with PBE-GGA.

Lattice parameters (Å, degrees): 6.9857 6.9857 6.9857 151.35 133.41 55.62
Closest atoms and distances in Å follow each position.
Element x y z (fractional)
Os (0.7500, 0.2500, 0.5000)  4 Br 2.53
Br (0.6008, 0.6008, 0.0000)  2 Os 2.53
Br (0.8992, 0.8992, 0.0000)  2 Os 2.53
Tl (0.2500, 0.7500, 0.5000)  4 Os 3.26, 4 Br 3.32, 2 Tl 3.46

* energy above the most stable polymorph in this dataset: 0.369 eV/f.u.
* formation energy from raw total energies: 0.370 eV per atom

6.
A relaxed structure of Li2HIrPd, computed with PBE-GGA.

Lattice parameters (Å, degrees): 3.9560 3.9560 3.5740 90.00 90.00 90.00
Closest atoms and distances in Å follow each position.
Element x y z (fractional)
Pd (0.5000, 0.5000, 0.5000)  8 Li 2.67, 4 Ir 2.80
Li (0.5000, 0.0000, 0.0000)  2 H 1.98
Li (0.0000, 0.5000, 0.0000)  2 H 1.98
Ir (0.0000, 0.0000, 0.5000)  2 H 1.79
H (0.0000, 0.0000, 0.0000)  2 Ir 1.79, 4 Li 1.98

| no. | total DFT energy (no corrections) (Ry/atom) | size of the total moment (μB per cell) |
| --- | --- | --- |
| 1 | -0.3013 | 0.00 |
| 2 | -0.1458 | 1.82 |
| 3 | -0.7638 | 0.00 |
| 4 | -0.6831 | 0.00 |
| 5 | -0.2841 | 0.89 |
| 6 | -0.3273 | 0.00 |